Density functional theory data (PBE) for a relaxed structure of Mg2PAu.

abc: 5.8052 5.8052 7.5888
angles: 67.51 67.51 90.00
Closest atoms and distances in Å follow each position.
Element x y z (fractional)
Au: 0.7500 0.2500 0.5000  4 Mg 2.75
Au: 0.0000 0.0000 0.0000  4 Mg 2.75
P: 0.2500 0.7500 0.5000  4 Mg 2.46
P: 0.5000 0.5000 0.0000  4 Mg 2.46
Mg: 0.3750 0.4199 0.7500  2 P 2.46, 2 Au 2.75
Mg: 0.8750 0.8301 0.7500  2 P 2.46, 2 Au 2.75
Mg: 0.5801 0.1250 0.2500  2 P 2.46, 2 Au 2.75
Mg: 0.1699 0.6250 0.2500  2 P 2.46, 2 Au 2.75

ρ (g/cm³): 4.270
Final energy (Ry/atom): -0.235
Formation energy (meV per atom): -233
N(E_F) (states/eV/cell): 0.00

=====

Density functional theory data (PBE) for a relaxed structure of MgP2Au.

abc: 5.2981 5.2981 5.2981
angles: 137.22 137.22 62.10
Closest atoms and distances in Å follow each position.
Element x y z (fractional)
P: 0.0000 0.0000 0.0000  4 Au 2.73, 4 P 2.98, 4 Mg 2.98
P: 0.2500 0.7500 0.5000  4 Mg 2.73, 4 Au 2.98, 4 P 2.98
Au: 0.5000 0.5000 0.0000  8 P 2.73-2.98, 4 Mg 2.98
Mg: 0.7500 0.2500 0.5000  8 P 2.73-2.98, 4 Au 2.98

ρ (g/cm³): 6.938
Final energy (Ry/atom): -0.280
Formation energy (meV per atom): 110
N(E_F) (states/eV/cell): 1.01

=====

Density functional theory data (PBE) for a relaxed structure of MgP2Au.

abc: 5.8195 5.8195 4.8036
angles: 114.86 114.86 32.92
Closest atoms and distances in Å follow each position.
Element x y z (fractional)
P: 0.5138 0.5138 0.4182  2 P 2.23, 1 Au 2.41
P: 0.9862 0.9862 0.0818  2 P 2.23, 1 Au 2.41
Mg: 0.2500 0.2500 0.2500  2 P 2.69, 4 Au 2.91
Au: 0.7500 0.7500 0.7500  2 P 2.41

ρ (g/cm³): 5.918
Final energy (Ry/atom): -0.305
Formation energy (meV per atom): -230
N(E_F) (states/eV/cell): 1.21